Record 1
Density functional theory data (PBE) for Rb2U3HgSe8 after structural relaxation.

Cell: 8.4000 8.4000 9.8072 Å, 64.64 64.64 60.00°
Last column: nearest neighbours and their distance in Å.
Sites, in units of the cell vectors:
Rb 0.1389 0.1389 0.5833  4 Se 3.36-3.44
Rb 0.5000 0.5000 0.5001  6 Se 3.56-3.57
U 0.5002 0.9971 0.0025  6 Se 2.75-2.87
U 0.9971 0.5002 0.0025  6 Se 2.75-2.87
U 0.5002 0.5002 0.0025  6 Se 2.75-2.87
Hg 0.8603 0.8603 0.4192  4 Se 3.34-3.47
Se 0.2732 0.2732 0.1803  3 U 2.87
Se 0.7247 0.7247 0.8258  3 U 2.84
Se 0.2386 0.2386 0.8278  2 U 2.77
Se 0.6949 0.2386 0.8278  2 U 2.77
Se 0.2386 0.6949 0.8278  2 U 2.77
Se 0.7626 0.3007 0.1741  2 U 2.75
Se 0.3007 0.7626 0.1741  2 U 2.75
Se 0.7626 0.7626 0.1741  2 U 2.75

energy = -5.614 eV per atom
SG = R3m
calculated volume = 37.2 A^3/atom



Record 2
Density functional theory data (PBE) for RbZrHgSe2 after structural relaxation.

Cell: 5.3083 5.3083 5.7387 Å, 90.00 90.00 90.00°
Last column: nearest neighbours and their distance in Å.
Sites, in units of the cell vectors:
Rb 0.5000 0.5000 0.5000  4 Hg 3.75, 8 Se 3.91
Se 0.0000 0.5000 0.0000  2 Zr 2.65
Se 0.5000 0.0000 0.0000  2 Zr 2.65
Hg 0.0000 0.0000 0.5000  2 Zr 2.87
Zr 0.0000 0.0000 0.0000  4 Se 2.65, 2 Hg 2.87

energy = -4.202 eV per atom
SG = P4/mmm
calculated volume = 32.3 A^3/atom



Record 3
Density functional theory data (PBE) for Rb2Si2Hg after structural relaxation.

Cell: 8.9964 8.9964 4.9751 Å, 90.00 90.00 90.00°
Last column: nearest neighbours and their distance in Å.
Sites, in units of the cell vectors:
Si 0.4154 0.9154 0.0000  1 Si 2.15
Si 0.9154 0.5846 0.0000  1 Si 2.15
Si 0.5846 0.0846 0.0000  1 Si 2.15
Si 0.0846 0.4154 0.0000  1 Si 2.15
Hg 0.0000 0.0000 0.0000  4 Si 3.81, 8 Rb 4.09
Hg 0.5000 0.5000 0.0000  4 Si 3.81, 8 Rb 4.09
Rb 0.1997 0.6997 0.5000  6 Si 3.70-3.71, 4 Hg 4.09
Rb 0.6997 0.8003 0.5000  6 Si 3.70-3.71, 4 Hg 4.09
Rb 0.8003 0.3003 0.5000  6 Si 3.70-3.71, 4 Hg 4.09
Rb 0.3003 0.1997 0.5000  6 Si 3.70-3.71, 4 Hg 4.09

energy = -2.441 eV per atom
SG = P4/mbm
calculated volume = 40.3 A^3/atom



Record 4
Density functional theory data (PBE) for RbSiHg3 after structural relaxation.

Cell: 6.7281 6.7281 6.7281 Å, 90.00 90.00 90.00°
Last column: nearest neighbours and their distance in Å.
Sites, in units of the cell vectors:
Si 0.5000 0.5000 0.5000  12 Hg 4.76
Hg 0.0000 0.5000 0.0000  2 Rb 3.36
Hg 0.0000 0.0000 0.5000  2 Rb 3.36
Hg 0.5000 0.0000 0.0000  2 Rb 3.36
Rb 0.0000 0.0000 0.0000  6 Hg 3.36

energy = -0.664 eV per atom
SG = Pm-3m
calculated volume = 60.9 A^3/atom



Record 5
Density functional theory data (PBE) for Rb2Si2Hg after structural relaxation.

Cell: 6.5771 6.5771 6.8166 Å, 61.16 61.16 90.00°
Last column: nearest neighbours and their distance in Å.
Sites, in units of the cell vectors:
Si 0.3931 0.3931 0.2138  1 Si 2.13
Si 0.6069 0.6069 0.7862  1 Si 2.13
Hg 0.0000 0.0000 0.0000  2 Si 3.92, 8 Rb 4.13
Rb 0.7500 0.2500 0.5000  4 Si 3.58
Rb 0.2500 0.7500 0.5000  4 Si 3.58

energy = -2.426 eV per atom
SG = I4/mmm
calculated volume = 43.1 A^3/atom



Record 6
Density functional theory data (PBE) for RbSiHg2 after structural relaxation.

Cell: 6.0902 6.0902 9.3201 Å, 70.93 70.93 90.00°
Last column: nearest neighbours and their distance in Å.
Sites, in units of the cell vectors:
Si 0.5000 0.5000 0.0000  4 Hg 2.57
Si 0.2500 0.7500 0.5000  4 Hg 2.57
Hg 0.3754 0.1250 0.2500  2 Si 2.57
Hg 0.3746 0.6250 0.2500  2 Si 2.57
Hg 0.3750 0.6246 0.7500  2 Si 2.57
Hg 0.8750 0.6254 0.7500  2 Si 2.57
Rb 0.0000 0.0000 0.0000  8 Hg 3.98, 4 Si 4.31
Rb 0.7500 0.2500 0.5000  8 Hg 3.98, 4 Si 4.31

energy = -1.675 eV per atom
SG = I4_1/amd
calculated volume = 38.3 A^3/atom



Record 7
Density functional theory data (PBE) for RbSiHg3 after structural relaxation.

Cell: 5.4220 5.4220 5.4220 Å, 90.00 90.00 90.00°
Last column: nearest neighbours and their distance in Å.
Sites, in units of the cell vectors:
Si 0.0000 0.0000 0.0000  6 Hg 2.71
Hg 0.0000 0.5000 0.0000  2 Si 2.71
Hg 0.0000 0.0000 0.5000  2 Si 2.71
Hg 0.5000 0.0000 0.0000  2 Si 2.71
Rb 0.5000 0.5000 0.5000  12 Hg 3.83

energy = -1.446 eV per atom
SG = Pm-3m
calculated volume = 31.9 A^3/atom



Record 8
Density functional theory data (PBE) for RbSiHg2 after structural relaxation.

Cell: 5.4099 5.4099 5.4099 Å, 60.00 60.00 60.00°
Last column: nearest neighbours and their distance in Å.
Sites, in units of the cell vectors:
Si 0.0000 0.0000 0.0000  8 Hg 3.31
Hg 0.2500 0.2500 0.2500  4 Rb 3.31, 4 Si 3.31
Hg 0.7500 0.7500 0.7500  4 Rb 3.31, 4 Si 3.31
Rb 0.5000 0.5000 0.5000  8 Hg 3.31

energy = -1.447 eV per atom
SG = Fm-3m
calculated volume = 28.0 A^3/atom



Record 9
Density functional theory data (PBE) for Rb3SiHg after structural relaxation.

Cell: 6.8460 6.8460 6.8460 Å, 90.00 90.00 90.00°
Last column: nearest neighbours and their distance in Å.
Sites, in units of the cell vectors:
Si 0.0000 0.0000 0.0000  6 Rb 3.42
Hg 0.5000 0.5000 0.5000  12 Rb 4.84
Rb 0.0000 0.5000 0.0000  2 Si 3.42
Rb 0.0000 0.0000 0.5000  2 Si 3.42
Rb 0.5000 0.0000 0.0000  2 Si 3.42

energy = -1.464 eV per atom
SG = Pm-3m
calculated volume = 64.2 A^3/atom



Record 10
Density functional theory data (PBE) for Rb2SiHg after structural relaxation.

Cell: 6.1137 6.1137 6.1137 Å, 60.00 60.00 60.00°
Last column: nearest neighbours and their distance in Å.
Sites, in units of the cell vectors:
Si 0.0000 0.0000 0.0000  8 Rb 3.74
Hg 0.5000 0.5000 0.5000  8 Rb 3.74
Rb 0.2500 0.2500 0.2500  4 Hg 3.74, 4 Si 3.74
Rb 0.7500 0.7500 0.7500  4 Hg 3.74, 4 Si 3.74

energy = -1.624 eV per atom
SG = Fm-3m
calculated volume = 40.4 A^3/atom



Record 11
Density functional theory data (PBE) for Rb2SiHg after structural relaxation.

Cell: 13.3259 13.3259 9.7650 Å, 46.97 46.97 90.00°
Last column: nearest neighbours and their distance in Å.
Sites, in units of the cell vectors:
Si 0.5000 0.5000 0.0000  2 Hg 2.56
Si 0.2500 0.7500 0.5000  2 Hg 2.56
Hg 0.0000 0.0000 0.0000  2 Si 2.56
Hg 0.7500 0.2500 0.5000  2 Si 2.56
Rb 0.4283 0.1250 0.2500  2 Si 3.47
Rb 0.3217 0.6250 0.2500  2 Si 3.47
Rb 0.3750 0.5717 0.7500  2 Si 3.47
Rb 0.8750 0.6783 0.7500  2 Si 3.47

energy = -1.789 eV per atom
SG = I-42d
calculated volume = 56.9 A^3/atom



Record 12
Density functional theory data (PBE) for Rb2Si2Hg after structural relaxation.

Cell: 3.6094 3.6094 12.1826 Å, 81.48 81.48 90.00°
Last column: nearest neighbours and their distance in Å.
Sites, in units of the cell vectors:
Si 0.7500 0.2500 0.5000  4 Si 2.55
Si 0.2500 0.7500 0.5000  4 Si 2.55
Hg 0.0000 0.0000 0.0000  4 Hg 3.61, 8 Rb 3.82
Rb 0.3806 0.3806 0.2388  4 Si 3.60, 4 Rb 3.61, 4 Hg 3.82
Rb 0.6194 0.6194 0.7612  4 Si 3.60, 4 Rb 3.61, 4 Hg 3.82

energy = -2.437 eV per atom
SG = I4/mmm
calculated volume = 31.0 A^3/atom



What did the second record say?
Density functional theory data (PBE) for RbZrHgSe2 after structural relaxation.

Cell: 5.3083 5.3083 5.7387 Å, 90.00 90.00 90.00°
Last column: nearest neighbours and their distance in Å.
Sites, in units of the cell vectors:
Rb 0.5000 0.5000 0.5000  4 Hg 3.75, 8 Se 3.91
Se 0.0000 0.5000 0.0000  2 Zr 2.65
Se 0.5000 0.0000 0.0000  2 Zr 2.65
Hg 0.0000 0.0000 0.5000  2 Zr 2.87
Zr 0.0000 0.0000 0.0000  4 Se 2.65, 2 Hg 2.87

energy = -4.202 eV per atom
SG = P4/mmm
calculated volume = 32.3 A^3/atom



- Among the records above, which one has the highest energy?
  number 4



- What is the formula in the ninth record?
  Rb3SiHg



- Which of these has the highest energy?
  number 4